Na2HF: relaxed, PBEsol.

Cell: 6.2780 6.2780 6.2780 Å, 131.75 131.75 70.63°
Element x y z (fractional)
Na 0.1206 0.6250 0.9956
Na 0.3750 0.3706 0.4956
Na 0.6294 0.1250 0.0044
Na 0.8750 0.8794 0.5044
H 0.2500 0.7500 0.5000
H 0.5000 0.5000 0.0000
F 0.0000 0.0000 0.0000
F 0.7500 0.2500 0.5000

Values from the calculation:
The calculation puts the final energy at -3.377 eV per atom. As for the space group: I-42d (122). The value obtained for the density of states at the Fermi level is 0.000 states/eV per atom.